## Ac4Hg2IrAu (PBE)

Data for crystalline Ac4Hg2IrAu at its relaxed geometry.

```
data_Ac4Hg2IrAu
_space_group_name_H-M_alt 'P 1 2/m 1'
_space_group_IT_number 10
_space_group_name_Hall '-P 2y'
_cell_length_a 7.840
_cell_length_b 4.339
_cell_length_c 8.540
_cell_angle_alpha 90.00
_cell_angle_beta 106.15
_cell_angle_gamma 90.00
loop_
_atom_site_label
_atom_site_type_symbol
_atom_site_fract_x
_atom_site_fract_y
_atom_site_fract_z
_atom_site_occupancy
Ac1 Ac 0.218 0.000 0.206 1
Ac2 Ac 0.240 0.500 0.786 1
Hg1 Hg 0.000 0.000 0.500 1
Hg2 Hg 0.500 0.500 0.500 1
Ir1 Ir 0.000 0.500 0.000 1
Au1 Au 0.500 0.000 0.000 1
```

Summary:
- Energy of formation: -469 kJ/mol of formula units

## BaLiGaCu2 (PBE)

Data for crystalline BaLiGaCu2 at its relaxed geometry.

```
data_BaLiGaCu2
_space_group_name_H-M_alt 'P 4/m m m'
_space_group_IT_number 123
_space_group_name_Hall '-P 4 2'
_cell_length_a 4.792
_cell_length_b 4.792
_cell_length_c 4.945
_cell_angle_alpha 90.00
_cell_angle_beta 90.00
_cell_angle_gamma 90.00
loop_
_atom_site_label
_atom_site_type_symbol
_atom_site_fract_x
_atom_site_fract_y
_atom_site_fract_z
_atom_site_occupancy
Ba1 Ba 0.000 0.000 0.000 1
Li1 Li 0.500 0.500 0.000 1
Ga1 Ga 0.500 0.500 0.500 1
Cu1 Cu 0.000 0.500 0.500 1
```

Summary:
- Energy of formation: -16 kJ/mol of formula units

## Ba4PdBrCl2 (PBE)

Data for crystalline Ba4PdBrCl2 at its relaxed geometry.

```
data_Ba4PdBrCl2
_space_group_name_H-M_alt 'P 1 2/m 1'
_space_group_IT_number 10
_space_group_name_Hall '-P 2y'
_cell_length_a 8.094
_cell_length_b 4.527
_cell_length_c 8.420
_cell_angle_alpha 90.00
_cell_angle_beta 107.42
_cell_angle_gamma 90.00
loop_
_atom_site_label
_atom_site_type_symbol
_atom_site_fract_x
_atom_site_fract_y
_atom_site_fract_z
_atom_site_occupancy
Ba1 Ba 0.234 0.000 0.225 1
Ba2 Ba 0.250 0.500 0.770 1
Pd1 Pd 0.000 0.500 0.000 1
Br1 Br 0.000 0.000 0.500 1
Cl1 Cl 0.500 0.000 0.000 1
Cl2 Cl 0.500 0.500 0.500 1
```

Summary:
- Calculated total energy: -3.706 eV/atom

## TaBe2Re (PBE)

Data for crystalline TaBe2Re at its relaxed geometry.

```
data_TaBe2Re
_space_group_name_H-M_alt 'P m c 21'
_space_group_IT_number 26
_space_group_name_Hall 'P 2c -2'
_cell_length_a 3.278
_cell_length_b 4.729
_cell_length_c 6.112
_cell_angle_alpha 90.00
_cell_angle_beta 90.00
_cell_angle_gamma 90.00
loop_
_atom_site_label
_atom_site_type_symbol
_atom_site_fract_x
_atom_site_fract_y
_atom_site_fract_z
_atom_site_occupancy
Ta1 Ta 0.000 0.133 0.000 1
Be1 Be 0.000 0.373 0.629 1
Be2 Be 0.500 0.138 0.703 1
Re1 Re 0.500 0.371 0.339 1
```

Summary:
- Energy of formation: -136 kJ/mol of formula units
- E above lowest polymorph: 0.68 kcal/mol of atoms

Please write out number 4 again, unchanged.
## TaBe2Re (PBE)

Data for crystalline TaBe2Re at its relaxed geometry.

```
data_TaBe2Re
_space_group_name_H-M_alt 'P m c 21'
_space_group_IT_number 26
_space_group_name_Hall 'P 2c -2'
_cell_length_a 3.278
_cell_length_b 4.729
_cell_length_c 6.112
_cell_angle_alpha 90.00
_cell_angle_beta 90.00
_cell_angle_gamma 90.00
loop_
_atom_site_label
_atom_site_type_symbol
_atom_site_fract_x
_atom_site_fract_y
_atom_site_fract_z
_atom_site_occupancy
Ta1 Ta 0.000 0.133 0.000 1
Be1 Be 0.000 0.373 0.629 1
Be2 Be 0.500 0.138 0.703 1
Re1 Re 0.500 0.371 0.339 1
```

Summary:
- Energy of formation: -136 kJ/mol of formula units
- E above lowest polymorph: 0.68 kcal/mol of atoms

> Number 2 is which compound?

BaLiGaCu2